ZrZnTc2: optimized geometry, PBE.

Properties
Total magnetization in μB per atom: 0.001
ΔH_f (0 K) in eV/atom: 0.00

Cell lengths 6.3725, 6.3725, 6.3725 Å; angles 90.00, 90.00, 90.00 degrees
Closest atoms and distances in Å follow each position.
Space group F-43m (No. 216)
Asymmetric unit:
Zr: 0.0000 0.0000 0.0000 [4 per cell]  4 Tc 2.76, 4 Zn 2.76
Zn: 0.2500 0.2500 0.7500 [4 per cell]  4 Zr 2.76, 4 Tc 2.76
Tc: 0.0000 0.0000 0.5000 [4 per cell]  4 Tc 2.76, 4 Zn 2.76
Tc: 0.2500 0.2500 0.2500 [4 per cell]  4 Zr 2.76, 4 Tc 2.76